Entry 1:
The following is a PBE calculation of a geometry-optimized Na2HBr structure, from Alexandria via LeMat-Bulk.

abc: 6.6307 6.6307 6.2489
angles: 57.96 57.96 90.00
Sites, in units of the cell vectors:
H  0.5000  0.5000  0.0000
H  0.2500  0.7500  0.5000
Na  0.8750  0.7961  0.7500
Na  0.2039  0.6250  0.2500
Na  0.5461  0.1250  0.2500
Na  0.3750  0.4539  0.7500
Br  0.7500  0.2500  0.5000
Br  0.0000  0.0000  0.0000

Summary:
relative energy among the computed polymorphs: 30 meV per atom
spin magnetization: 0.0000 μB/atom
space group: I-42d (122)
VASP energy: -2.7395 eV per atom

Entry 2:
The following is a PBE calculation of a geometry-optimized Na4H5Br structure, from Alexandria via LeMat-Bulk.

abc: 3.9919 7.7199 11.1141
angles: 90.00 90.00 90.00
Sites, in units of the cell vectors:
H  0.4413  0.2938  0.2365
H  0.8405  0.5000  0.0000
H  0.5587  0.7938  0.2635
H  0.5587  0.2062  0.2635
H  0.4413  0.7062  0.2365
H  0.4413  0.2938  0.7635
H  0.5587  0.2062  0.7365
H  0.4413  0.7062  0.7635
H  0.5587  0.7938  0.7365
H  0.1595  0.0000  0.5000
Na  0.4173  0.7061  0.0000
Na  0.5827  0.2061  0.5000
Na  0.0990  0.0000  0.2766
Na  0.4173  0.2939  0.0000
Na  0.5827  0.7939  0.5000
Na  0.9010  0.5000  0.2234
Na  0.9010  0.5000  0.7766
Na  0.0990  0.0000  0.7234
Br  0.9553  0.0000  0.0000
Br  0.0447  0.5000  0.5000

Summary:
spin magnetization: 0.0000 μB/atom
space group: Pmmn (59)
VASP energy: -2.5459 eV per atom

Entry 3:
The following is a PBE calculation of a geometry-optimized Na2H4Br3 structure, from Alexandria via LeMat-Bulk.

abc: 6.3164 4.5836 7.0754
angles: 91.42 89.14 69.98
Sites, in units of the cell vectors:
Na  0.3481  0.7425  0.7209
Na  0.6519  0.2575  0.2791
H  0.9411  0.5393  0.2881
H  0.0589  0.4607  0.7119
H  0.1222  0.4006  0.6195
H  0.8778  0.5994  0.3805
Br  0.6501  0.0926  0.6814
Br  0.0000  0.0000  0.0000
Br  0.3499  0.9074  0.3186

Summary:
spin magnetization: 0.0000 μB/atom
space group: P-1 (2)
VASP energy: -2.9326 eV per atom